The following is a PBE-GGA calculation of GeSe2O after structural relaxation, from the Alexandria database.

a = 4.4804 Å, b = 4.4804 Å, c = 4.4804 Å
α = 60.00°, β = 60.00°, γ = 60.00°
Last column: nearest neighbours and their distance in Å.
Fractional positions:
Ge 0.5000 0.5000 0.5000  8 Se 2.74
O 0.0000 0.0000 0.0000  8 Se 2.74
Se 0.2500 0.2500 0.2500  4 Ge 2.74, 4 O 2.74
Se 0.7500 0.7500 0.7500  4 Ge 2.74, 4 O 2.74

Properties
E above lowest polymorph = 466.2 meV/atom
Formation energy from raw total energies = 51 kJ per mole of atoms
Space-group type = Fm-3m (225)

***

The following is a PBE-GGA calculation of NaLiH2 after structural relaxation, from the Alexandria database.

a = 3.1204 Å, b = 3.1204 Å, c = 5.4301 Å
α = 73.30°, β = 73.30°, γ = 60.00°
Last column: nearest neighbours and their distance in Å.
Fractional positions:
Na 0.5000 0.5000 0.5000  6 H 2.31
Li 0.0000 0.0000 0.0000  6 H 2.12
H 0.2606 0.2606 0.2181  3 Li 2.12, 3 Na 2.31
H 0.7394 0.7394 0.7819  3 Li 2.12, 3 Na 2.31

Properties
E above lowest polymorph = 4.1 meV/atom
Space-group type = R-3m (166)

***

The following is a PBE-GGA calculation of LiSc2Ni2H6 after structural relaxation, from the Alexandria database.

a = 4.4482 Å, b = 4.4482 Å, c = 5.9906 Å
α = 68.21°, β = 68.21°, γ = 60.00°
Last column: nearest neighbours and their distance in Å.
Fractional positions:
H 0.2100 0.7367 0.3165  1 Ni 1.63
Ni 0.6168 0.6168 0.1496  3 H 1.63
H 0.7367 0.2100 0.3165  1 Ni 1.63
Sc 0.7767 0.7767 0.6698  9 H 2.23-2.27
H 0.7367 0.7367 0.3165  1 Ni 1.63
Ni 0.3832 0.3832 0.8504  3 H 1.63
Sc 0.2233 0.2233 0.3302  9 H 2.23-2.27
H 0.2633 0.2633 0.6835  1 Ni 1.63
H 0.7900 0.2633 0.6835  1 Ni 1.63
Li 0.0000 0.0000 0.0000  6 H 2.10
H 0.2633 0.7900 0.6835  1 Ni 1.63

Properties
Electronic total energy = -4.56 eV per atom
Space-group type = R-3m (166)

***

The following is a PBE-GGA calculation of SrHf2CdC after structural relaxation, from the Alexandria database.

a = 5.3652 Å, b = 5.5077 Å, c = 5.3652 Å
α = 90.00°, β = 90.00°, γ = 90.00°
Last column: nearest neighbours and their distance in Å.
Fractional positions:
Hf 0.0000 0.0000 0.5000  2 Sr 2.68
Sr 0.0000 0.0000 0.0000  4 Hf 2.68, 2 Cd 2.75
C 0.5000 0.5000 0.5000  4 Cd 3.79, 8 Hf 3.84
Hf 0.5000 0.0000 0.0000  2 Sr 2.68
Cd 0.0000 0.5000 0.0000  2 Sr 2.75

Properties
Space-group type = P4/mmm (123)
Formation energy from the elements = 3217 meV per atom

***

The following is a PBE-GGA calculation of KLa2MgCo after structural relaxation, from the Alexandria database.

a = 5.4016 Å, b = 5.4016 Å, c = 5.4835 Å
α = 90.00°, β = 90.00°, γ = 90.00°
Last column: nearest neighbours and their distance in Å.
Fractional positions:
La 0.5000 0.0000 0.0000  2 Co 2.70
Co 0.0000 0.0000 0.0000  4 La 2.70, 2 Mg 2.74
La 0.0000 0.5000 0.0000  2 Co 2.70
Mg 0.0000 0.0000 0.5000  2 Co 2.74
K 0.5000 0.5000 0.5000  4 Mg 3.82, 8 La 3.85

Properties
Space-group type = P4/mmm (123)
Formation energy from the elements = 76 meV per atom

***

The following is a PBE-GGA calculation of In5Hg12I after structural relaxation, from the Alexandria database.

a = 6.1540 Å, b = 6.3271 Å, c = 15.3191 Å
α = 86.20°, β = 82.17°, γ = 60.90°
Last column: nearest neighbours and their distance in Å.
Fractional positions:
In 0.8498 0.3004 0.5000  6 Hg 3.18-3.37, 3 In 3.32-3.50
I 0.0000 0.0000 0.0000  6 Hg 3.56-3.66, 6 In 3.56-3.73
Hg 0.3405 0.0000 0.1783  7 Hg 3.19-3.44, 2 In 3.30
In 0.1502 0.6997 0.5000  6 Hg 3.18-3.37, 3 In 3.32-3.50
Hg 0.7721 0.6581 0.6549  3 In 3.16-3.21, 5 Hg 3.22-3.54
Hg 0.5698 0.6581 0.3451  3 In 3.16-3.21, 5 Hg 3.22-3.54
Hg 0.6595 0.0000 0.8217  7 Hg 3.19-3.44, 2 In 3.30
Hg 0.4251 0.6158 0.8254  7 Hg 3.22-3.44, 2 In 3.28-3.34, 1 I 3.56
Hg 0.0409 0.3842 0.8254  7 Hg 3.22-3.44, 2 In 3.28-3.34, 1 I 3.56
Hg 0.0949 0.0000 0.6824  3 Hg 3.19-3.25, 3 In 3.37-3.48
In 0.6624 0.6752 0.0000  6 Hg 3.28-3.34, 2 I 3.56, 3 In 3.59-3.64
Hg 0.2279 0.3419 0.3451  3 In 3.16-3.21, 5 Hg 3.22-3.54
In 0.5000 0.0000 0.5000  6 Hg 3.16-3.48, 4 In 3.50
Hg 0.9591 0.6158 0.1746  7 Hg 3.22-3.44, 2 In 3.28-3.34, 1 I 3.56
Hg 0.9051 0.0000 0.3176  3 Hg 3.19-3.25, 3 In 3.37-3.48
In 0.3376 0.3248 0.0000  6 Hg 3.28-3.34, 2 I 3.56, 3 In 3.59-3.64
Hg 0.4302 0.3419 0.6549  3 In 3.16-3.21, 5 Hg 3.22-3.54
Hg 0.5749 0.3842 0.1746  7 Hg 3.22-3.44, 2 In 3.28-3.34, 1 I 3.56

Properties
Formation energy from raw total energies = -1 kJ per mole of atoms
Space-group type = C2/m (12)

***

The following is a PBE-GGA calculation of CeDyIn4 after structural relaxation, from the Alexandria database.

a = 3.5550 Å, b = 5.0297 Å, c = 8.7418 Å
α = 90.00°, β = 90.03°, γ = 90.00°
Last column: nearest neighbours and their distance in Å.
Fractional positions:
In 0.9982 0.0000 0.3309  3 In 2.90-2.96
In 0.0018 0.0000 0.6691  3 In 2.90-2.96
In 0.0019 0.5000 0.1646  3 In 2.88-2.90
Ce 0.5000 0.5000 0.5000  12 In 3.41-3.43, 2 Ce 3.55
In 0.9981 0.5000 0.8354  3 In 2.88-2.90
Dy 0.5000 0.0000 0.0000  12 In 3.39-3.40, 2 Dy 3.55

Properties
E above lowest polymorph = 0.0 meV/atom
Space-group type = P2/m (10)
Formation energy from the elements = -380 meV per atom

***

The following is a PBE-GGA calculation of Rb3H3O2 after structural relaxation, from the Alexandria database.

a = 3.7908 Å, b = 4.7674 Å, c = 8.6339 Å
α = 82.32°, β = 102.68°, γ = 90.00°
Last column: nearest neighbours and their distance in Å.
Fractional positions:
H 0.7885 0.5165 0.5770  1 O 0.97
H 0.0000 0.0000 0.0000  8 Rb 3.05-3.19
Rb 0.6535 0.9352 0.3071  3 H 2.81-2.93, 2 O 2.85
H 0.2115 0.4835 0.4230  1 O 0.97
Rb 0.5000 0.5000 0.0000  4 H 3.05, 4 O 3.38
O 0.8328 0.6284 0.6655  1 H 0.97
O 0.1672 0.3716 0.3345  1 H 0.97
Rb 0.3465 0.0648 0.6929  3 H 2.81-2.93, 2 O 2.85

Properties
Electronic total energy = -3.80 eV per atom
Space-group type = C2/m (12)

***

The following is a PBE-GGA calculation of Nb2SbPd after structural relaxation, from the Alexandria database.

a = 7.4773 Å, b = 7.4773 Å, c = 5.9929 Å
α = 51.40°, β = 51.40°, γ = 90.00°
Last column: nearest neighbours and their distance in Å.
Fractional positions:
Nb 0.6131 0.1250 0.2500  2 Pd 2.68, 2 Sb 2.80, 2 Nb 2.83
Pd 0.2500 0.7500 0.5000  4 Nb 2.68, 2 Sb 2.82
Sb 0.7500 0.2500 0.5000  4 Nb 2.80, 2 Pd 2.82
Pd 0.5000 0.5000 0.0000  4 Nb 2.68, 2 Sb 2.82
Nb 0.1369 0.6250 0.2500  2 Pd 2.68, 2 Sb 2.80, 2 Nb 2.83
Sb 0.0000 0.0000 0.0000  4 Nb 2.80, 2 Pd 2.82
Nb 0.3750 0.3869 0.7500  2 Pd 2.68, 2 Sb 2.80, 2 Nb 2.83
Nb 0.8750 0.8631 0.7500  2 Pd 2.68, 2 Sb 2.80, 2 Nb 2.83

Properties
Formation energy from raw total energies = 13 kJ per mole of atoms
Space-group type = I-42d (122)

***

The following is a PBE-GGA calculation of Si4RhW after structural relaxation, from the Alexandria database.

a = 4.8435 Å, b = 4.8435 Å, c = 4.8435 Å
α = 60.00°, β = 60.00°, γ = 60.00°
Last column: nearest neighbours and their distance in Å.
Fractional positions:
Rh 0.0000 0.0000 0.0000  12 Si 2.84, 4 W 2.97
Si 0.3748 0.3748 0.8756  6 Si 2.42-2.43
Si 0.3748 0.8756 0.3748  6 Si 2.42-2.43
W 0.7500 0.7500 0.7500  12 Si 2.84, 4 Rh 2.97
Si 0.3748 0.3748 0.3748  6 Si 2.42-2.43
Si 0.8756 0.3748 0.3748  6 Si 2.42-2.43

Properties
Formation energy from raw total energies = 37 kJ per mole of atoms
Space-group type = F-43m (216)

***

The following is a PBE-GGA calculation of ZrCo3Ge after structural relaxation, from the Alexandria database.

a = 4.8813 Å, b = 8.2861 Å, c = 5.8966 Å
α = 134.64°, β = 114.45°, γ = 90.00°
Last column: nearest neighbours and their distance in Å.
Fractional positions:
Co 0.2500 0.9425 0.5000  2 Ge 2.34, 4 Co 2.42, 1 Zr 2.58
Ge 0.5000 0.0000 0.0000  6 Co 2.34-2.43
Co 0.2975 0.2975 0.0950  4 Co 2.42-2.44, 2 Ge 2.43
Ge 0.0000 0.5000 0.0000  6 Co 2.34-2.43
Co 0.7500 0.0575 0.5000  2 Ge 2.34, 4 Co 2.42, 1 Zr 2.58
Co 0.7025 0.7025 0.9050  4 Co 2.42-2.44, 2 Ge 2.43
Co 0.2025 0.7025 0.9050  4 Co 2.42-2.44, 2 Ge 2.43
Zr 0.2500 0.2544 0.5000  5 Co 2.58-2.75
Co 0.7975 0.2975 0.0950  4 Co 2.42-2.44, 2 Ge 2.43
Zr 0.7500 0.7456 0.5000  5 Co 2.58-2.75

Properties
E above lowest polymorph = 0.0 meV/atom
Space-group type = Imma (74)
Formation energy from the elements = -217 meV per atom

***

The following is a PBE-GGA calculation of LiPb3 after structural relaxation, from the Alexandria database.

a = 3.5144 Å, b = 3.5144 Å, c = 10.4440 Å
α = 90.00°, β = 90.00°, γ = 120.00°
Last column: nearest neighbours and their distance in Å.
Fractional positions:
Pb 0.6667 0.3333 0.2233  3 Li 3.09
Pb 0.6667 0.3333 0.7767  3 Li 3.09
Li 0.0000 0.0000 0.0000  6 Pb 3.09
Pb 0.0000 0.0000 0.5000  12 Pb 3.51-3.53

Properties
Space-group type = P-6m2 (187)
Formation energy from the elements = -71 meV per atom

***

The following is a PBE-GGA calculation of Th2Ga3Ir after structural relaxation, from the Alexandria database.

a = 4.5061 Å, b = 5.7159 Å, c = 5.9165 Å
α = 78.23°, β = 67.62°, γ = 66.79°
Last column: nearest neighbours and their distance in Å.
Fractional positions:
Ga 0.8394 0.6263 0.6950  1 Ir 2.63, 3 Ga 2.65-2.94
Ga 0.8318 0.2341 0.1022  2 Ir 2.61, 1 Ga 2.74
Th 0.5429 0.2186 0.6957  9 Ga 3.11-3.41, 3 Ir 3.15-3.46
Th 0.4531 0.7960 0.2977  3 Ir 2.95-3.22, 5 Ga 3.13-3.22
Ir 0.1684 0.3571 0.3061  3 Ga 2.61-2.63
Ga 0.1644 0.7679 0.9033  3 Ga 2.65-2.74

Properties
Space-group type = Cm (8)
Formation energy from the elements = -691 meV per atom

***

no.,calculated density (g/cm3)
1,6.44
2,1.23
3,3.94
4,5.96
5,4.15
6,10.00
7,8.09
8,3.21
9,8.72
10,8.25
11,8.20
12,9.34
13,11.12